No. 1
Density functional theory data (PBE-GGA) for NdIn4Pd4 after structural relaxation.

Properties
- ΔH_f (0 K) (meV per atom) = -394
- VASP energy (eV for the cell shown) = -80.1

Lattice parameters (Å, degrees): 8.8620 8.8620 5.4219 90.00 90.00 90.00
Space group P4_2/n (No. 86, origin choice 2)
One atom of each set of equivalent atoms:
Nd 0.2500 0.2500 0.2500 (multiplicity 2)
In 0.0902 0.6399 0.1576 (multiplicity 8)
Pd 0.0498 0.6109 0.6603 (multiplicity 8)

---

No. 2
Density functional theory data (PBE-GGA) for Mg2Al3Ga2 after structural relaxation.

Properties
- ΔH_f (0 K) (meV per atom) = -56
- VASP energy (eV for the cell shown) = -41.7
- excess energy over the best structure of this formula in the dataset (eV/atom) = 0.000

Lattice parameters (Å, degrees): 9.5869 4.0778 6.7097 90.00 94.22 90.00
Space group C2/m (No. 12)
One atom of each set of equivalent atoms:
Mg 0.1150 0.0000 0.3184 (multiplicity 4)
Al 0.0000 0.5000 0.0000 (multiplicity 2)
Al 0.1911 0.0000 0.8758 (multiplicity 4)
Ga 0.0978 0.5000 0.6402 (multiplicity 4)

---

No. 3
Density functional theory data (PBE-GGA) for Rb3TiCl6 after structural relaxation.

Properties
- formation energy without anion corrections (meV/atom) = -1829
- VASP energy (eV for the cell shown) = -80.3

Lattice parameters (Å, degrees): 7.6025 7.9394 13.2161 90.00 124.45 90.00
Space group P2_1/c (No. 14)
One atom of each set of equivalent atoms:
Rb 0.0000 0.0000 0.0000 (multiplicity 2)
Rb 0.2739 0.0664 0.7519 (multiplicity 4)
Ti 0.5000 0.0000 0.5000 (multiplicity 2)
Cl 0.1899 0.0313 0.2881 (multiplicity 4)
Cl 0.2859 0.6695 0.0475 (multiplicity 4)
Cl 0.3957 0.2416 0.0565 (multiplicity 4)

---

No. 4
Density functional theory data (PBE-GGA) for Cr2TcNi after structural relaxation.

Properties
- ΔH_f (0 K) (meV per atom) = 71
- VASP energy (eV for the cell shown) = -140.4

Lattice parameters (Å, degrees): 5.2265 5.2369 7.1388 90.00 90.00 90.00
Space group Fmmm (No. 69)
One atom of each set of equivalent atoms:
Cr 0.2500 0.2500 0.2500 (multiplicity 8)
Tc 0.0000 0.0000 0.0000 (multiplicity 4)
Ni 0.0000 0.0000 0.5000 (multiplicity 4)

---

No. 5
Density functional theory data (PBE-GGA) for Sc3CrB7 after structural relaxation.

Properties
- ΔH_f (0 K) (meV per atom) = -770
- VASP energy (eV for the cell shown) = -335.3

Lattice parameters (Å, degrees): 3.2617 14.9317 9.0031 90.00 90.00 90.00
Space group Cmcm (No. 63)
One atom of each set of equivalent atoms:
Sc 0.0000 0.1061 0.0564 (multiplicity 8)
Sc 0.0000 0.2434 0.7500 (multiplicity 4)
Cr 0.0000 0.0509 0.7500 (multiplicity 4)
B 0.0000 0.2720 0.0322 (multiplicity 8)
B 0.0000 0.3675 0.1500 (multiplicity 8)
B 0.0000 0.4479 0.7500 (multiplicity 4)
B 0.0000 0.4824 0.0938 (multiplicity 8)

---

No. 6
Density functional theory data (PBE-GGA) for CaMo2Cl after structural relaxation.

Properties
- formation energy without anion corrections (meV/atom) = 33
- VASP energy (eV for the cell shown) = -50.8
- excess energy over the best structure of this formula in the dataset (eV/atom) = 0.176

Lattice parameters (Å, degrees): 3.4987 5.2967 9.1091 90.00 90.00 90.00
Space group Cmm2 (No. 35)
One atom of each set of equivalent atoms:
Ca 0.0000 0.0000 0.0000 (multiplicity 2)
Mo 0.0000 0.0000 0.5279 (multiplicity 2)
Mo 0.0000 0.5000 0.7140 (multiplicity 2)
Cl 0.0000 0.5000 0.2120 (multiplicity 2)

---

No. 7
Density functional theory data (PBE-GGA) for ZrTl2 after structural relaxation.

Properties
- ΔH_f (0 K) (meV per atom) = 193
- VASP energy (eV for the cell shown) = -25.4

Lattice parameters (Å, degrees): 3.2407 4.2608 10.7962 90.00 90.00 90.00
Space group Immm (No. 71)
One atom of each set of equivalent atoms:
Zr 0.0000 0.0000 0.0000 (multiplicity 2)
Tl 0.0000 0.0000 0.3387 (multiplicity 4)

---

No. 8
Density functional theory data (PBE-GGA) for ZrInRh2 after structural relaxation.

Properties
- ΔH_f (0 K) (meV per atom) = -482
- VASP energy (eV for the cell shown) = -27.9

Lattice parameters (Å, degrees): 3.6242 3.6242 5.5320 90.00 90.00 90.00
Space group P4mm (No. 99)
One atom of each set of equivalent atoms:
Zr 0.0000 0.0000 0.0000 (multiplicity 1)
In 0.5000 0.5000 0.3314 (multiplicity 1)
Rh 0.0000 0.0000 0.5182 (multiplicity 1)
Rh 0.5000 0.5000 0.8260 (multiplicity 1)